Record 1
VASP calculation (GGA-PBE) on a geometry-optimized Na4Y3PuS8 structure.

The calculation puts the raw formation energy at -1763 meV per atom. The value obtained for the magnetic moment is 0.31 μB/atom. Its calculated total energy is -6.26 eV/atom.

a = 8.0152 Å, b = 8.1189 Å, c = 8.0149 Å
α = 119.60°, β = 120.00°, γ = 90.00°
Closest atoms and distances in Å follow each position.
Fractional coordinates of all 16 atoms:
Na 0.5000 0.0000 0.0000  6 S 2.93
Na 0.5000 0.0000 0.5000  6 S 2.94-2.95
Na 0.0000 0.0000 0.0000  6 S 2.94-2.95
Na 0.0000 0.0000 0.5000  6 S 2.94-2.95
Y 0.5000 0.5000 0.0000  6 S 2.76-2.77
Y 0.5000 0.5000 0.5000  6 S 2.76-2.77
Y 0.0000 0.5000 0.5000  6 S 2.76-2.77
Pu 0.0000 0.5000 0.0000  6 S 2.78
S 0.2438 0.7272 0.9836  2 Y 2.76, 1 Pu 2.78, 3 Na 2.93-2.95
S 0.2438 0.7272 0.4875  2 Y 2.76, 1 Pu 2.78, 3 Na 2.93-2.95
S 0.2574 0.2723 0.5148  3 Y 2.77, 3 Na 2.94
S 0.7398 0.7272 0.9836  2 Y 2.76, 1 Pu 2.78, 3 Na 2.93-2.95
S 0.2602 0.2728 0.0164  2 Y 2.76, 1 Pu 2.78, 3 Na 2.93-2.95
S 0.7426 0.7277 0.4852  3 Y 2.77, 3 Na 2.94
S 0.7562 0.2728 0.5125  2 Y 2.76, 1 Pu 2.78, 3 Na 2.93-2.95
S 0.7562 0.2728 0.0164  2 Y 2.76, 1 Pu 2.78, 3 Na 2.93-2.95



Record 2
VASP calculation (GGA-PBE) on a geometry-optimized ZrBeCo structure.

The value obtained for the excess energy over the best structure of this formula in the dataset is 0.0 meV per atom. The value obtained for the magnetic moment is 0.00 μB/atom. Its calculated total energy is -6.79 eV/atom.

a = 4.8752 Å, b = 3.7237 Å, c = 6.9145 Å
α = 105.60°, β = 119.93°, γ = 112.49°
Closest atoms and distances in Å follow each position.
Fractional coordinates of all 6 atoms:
Zr 0.6688 0.9592 0.2499  5 Co 2.59-2.73, 2 Be 2.89
Zr 0.3312 0.0408 0.7501  5 Co 2.59-2.73, 2 Be 2.89
Be 0.0000 0.0000 0.0000  4 Co 2.34, 2 Be 2.45
Be 0.5000 0.5000 0.5000  4 Co 2.34, 2 Be 2.45
Co 0.0946 0.6723 0.2502  4 Be 2.34, 1 Zr 2.59
Co 0.9054 0.3277 0.7498  4 Be 2.34, 1 Zr 2.59



Record 3
VASP calculation (GGA-PBE) on a geometry-optimized GeBrF structure.

The calculation puts the raw formation energy at -1313 meV per atom. The value obtained for the magnetic moment is 0.00 μB/atom. Its calculated total energy is -4.03 eV/atom.

a = 5.4470 Å, b = 5.6616 Å, c = 6.0788 Å
α = 61.68°, β = 89.98°, γ = 90.00°
Closest atoms and distances in Å follow each position.
Fractional coordinates of all 6 atoms:
Br 0.9917 0.4416 0.6942  1 Ge 2.52
Br 0.4918 0.6516 0.1413  1 Ge 2.52
F 0.7419 0.0466 0.4180  2 Ge 2.01
F 0.2418 0.0464 0.4180  2 Ge 2.01
Ge 0.9918 0.8780 0.2925  2 F 2.01
Ge 0.4918 0.2149 0.5431  2 F 2.01



Record 4
VASP calculation (GGA-PBE) on a geometry-optimized Cs3Ho3SbS8 structure.

The calculation puts the raw formation energy at -1513 meV per atom. The value obtained for the magnetic moment is 0.00 μB/atom. Its calculated total energy is -5.08 eV/atom.

a = 8.0336 Å, b = 8.0350 Å, c = 9.4376 Å
α = 115.21°, β = 90.00°, γ = 120.00°
Closest atoms and distances in Å follow each position.
Fractional coordinates of all 15 atoms:
Cs 0.0000 0.0000 0.0000  6 S 3.51
Cs 0.0000 0.5000 0.0000  6 S 3.51
Cs 0.5000 0.5000 0.0000  6 S 3.51
Ho 0.5000 0.0000 0.5000  6 S 2.75-2.76
Ho 0.5000 0.5000 0.5000  6 S 2.75-2.76
Ho 0.0000 0.5000 0.5000  6 S 2.75-2.76
Sb 0.0000 0.0000 0.5000  6 S 2.68
S 0.2736 0.5473 0.3211  3 Ho 2.75
S 0.7264 0.4527 0.6789  3 Ho 2.75
S 0.7789 0.5579 0.3238  1 Sb 2.68, 2 Ho 2.76
S 0.2211 0.4421 0.6762  1 Sb 2.68, 2 Ho 2.76
S 0.7789 0.0446 0.3239  1 Sb 2.68, 2 Ho 2.76
S 0.2211 0.9554 0.6761  1 Sb 2.68, 2 Ho 2.76
S 0.2657 0.0447 0.3240  1 Sb 2.68, 2 Ho 2.76
S 0.7343 0.9553 0.6760  1 Sb 2.68, 2 Ho 2.76



Record 5
VASP calculation (GGA-PBE) on a geometry-optimized CaGaBr4Cl structure.

The calculation puts the raw formation energy at -1352 meV per atom. The value obtained for the magnetic moment is 0.00 μB/atom. Its calculated total energy is -3.29 eV/atom.

a = 7.9970 Å, b = 7.9970 Å, c = 10.8273 Å
α = 85.48°, β = 85.48°, γ = 58.59°
Closest atoms and distances in Å follow each position.
Fractional coordinates of all 14 atoms:
Ca 0.1390 0.1390 0.9989  2 Cl 2.62
Ca 0.8610 0.8610 0.0011  2 Cl 2.62
Ga 0.6729 0.6729 0.7312  4 Br 2.29-2.49
Ga 0.3271 0.3271 0.2688  4 Br 2.29-2.49
Br 0.2781 0.2781 0.4764  1 Ga 2.29
Br 0.7219 0.7219 0.5236  1 Ga 2.29
Br 0.0058 0.4792 0.1706  1 Ga 2.49
Br 0.4866 0.4866 0.1975  1 Ga 2.29
Br 0.5208 0.9942 0.8294  1 Ga 2.49
Br 0.4792 0.0058 0.1706  1 Ga 2.49
Br 0.5134 0.5134 0.8025  1 Ga 2.29
Br 0.9942 0.5208 0.8294  1 Ga 2.49
Cl 0.9892 0.9892 0.1633  2 Ca 2.62
Cl 0.0108 0.0108 0.8367  2 Ca 2.62



Record 6
VASP calculation (GGA-PBE) on a geometry-optimized Sr4NiHg structure.

The value obtained for the magnetic moment is 0.05 μB/atom. Its calculated total energy is -1.40 eV/atom.

a = 7.0564 Å, b = 7.0564 Å, c = 7.0564 Å
α = 60.00°, β = 60.00°, γ = 60.00°
Closest atoms and distances in Å follow each position.
Fractional coordinates of all 6 atoms:
Sr 0.8762 0.3746 0.3746  6 Sr 3.52-3.54
Sr 0.3746 0.3746 0.8762  6 Sr 3.52-3.54
Sr 0.3746 0.8762 0.3746  6 Sr 3.52-3.54
Sr 0.3746 0.3746 0.3746  6 Sr 3.52-3.54
Ni 0.0000 0.0000 0.0000  12 Sr 4.14, 4 Hg 4.32
Hg 0.7500 0.7500 0.7500  12 Sr 4.14, 4 Ni 4.32



Record 7
VASP calculation (GGA-PBE) on a geometry-optimized Ta2CoW structure.

The value obtained for the excess energy over the best structure of this formula in the dataset is 114.4 meV per atom. The value obtained for the magnetic moment is 0.03 μB/atom. Its calculated total energy is -10.91 eV/atom.

a = 2.7714 Å, b = 2.7714 Å, c = 8.4164 Å
α = 90.00°, β = 90.00°, γ = 102.91°
Closest atoms and distances in Å follow each position.
Fractional coordinates of all 4 atoms:
Co 0.5000 0.5000 0.7436  2 W 2.50, 2 Ta 2.58, 4 Co 2.77
Ta 0.0000 0.0000 0.9714  2 Co 2.58, 4 Ta 2.77
Ta 0.5000 0.5000 0.2556  6 Ta 2.77-2.95, 2 W 2.88
W 0.0000 0.0000 0.5294  2 Co 2.50, 4 W 2.77



Record 8
VASP calculation (GGA-PBE) on a geometry-optimized ScCd structure.

The value obtained for the magnetic moment is 0.00 μB/atom. Its calculated total energy is -3.84 eV/atom.

a = 3.3220 Å, b = 5.9985 Å, c = 4.7438 Å
α = 90.00°, β = 90.00°, γ = 106.08°
Closest atoms and distances in Å follow each position.
Fractional coordinates of all 4 atoms:
Sc 0.1675 0.3351 0.2500  7 Cd 2.98-3.24, 2 Sc 3.32
Sc 0.8325 0.6649 0.7500  7 Cd 2.98-3.24, 2 Sc 3.32
Cd 0.4259 0.8518 0.2500  2 Cd 2.92, 7 Sc 2.98-3.24
Cd 0.5741 0.1482 0.7500  2 Cd 2.92, 7 Sc 2.98-3.24



Record 9
VASP calculation (GGA-PBE) on a geometry-optimized DyFePt6 structure.

The value obtained for the magnetic moment is 0.60 μB/atom. Its calculated total energy is -6.77 eV/atom.

a = 4.0310 Å, b = 4.0310 Å, c = 8.0205 Å
α = 90.00°, β = 90.00°, γ = 90.00°
Closest atoms and distances in Å follow each position.
Fractional coordinates of all 8 atoms:
Dy 0.0000 0.0000 0.0000  12 Pt 2.85-2.94
Fe 0.0000 0.0000 0.5000  12 Pt 2.75-2.85
Pt 0.5000 0.5000 0.0000  4 Dy 2.85, 8 Pt 2.94
Pt 0.5000 0.5000 0.5000  8 Pt 2.75, 4 Fe 2.85
Pt 0.5000 0.0000 0.2670  8 Pt 2.75-2.94, 2 Fe 2.75, 2 Dy 2.94
Pt 0.5000 0.0000 0.7330  2 Fe 2.75, 8 Pt 2.75-2.94, 2 Dy 2.94
Pt 0.0000 0.5000 0.2670  8 Pt 2.75-2.94, 2 Fe 2.75, 2 Dy 2.94
Pt 0.0000 0.5000 0.7330  2 Fe 2.75, 8 Pt 2.75-2.94, 2 Dy 2.94



Record 10
VASP calculation (GGA-PBE) on a geometry-optimized TbSmCdAu structure.

The value obtained for the excess energy over the best structure of this formula in the dataset is 0.0 meV per atom. The value obtained for the magnetic moment is 0.00 μB/atom. Its calculated total energy is -3.96 eV/atom.

a = 3.7097 Å, b = 3.7097 Å, c = 7.4326 Å
α = 90.00°, β = 90.00°, γ = 90.00°
Closest atoms and distances in Å follow each position.
Fractional coordinates of all 4 atoms:
Tb 0.5000 0.5000 0.1224  4 Au 3.11, 4 Cd 3.25
Sm 0.5000 0.5000 0.5953  4 Au 3.21, 4 Cd 3.30, 1 Tb 3.51
Cd 0.0000 0.0000 0.8644  4 Tb 3.25, 4 Sm 3.30, 1 Au 3.58
Au 0.0000 0.0000 0.3459  4 Tb 3.11, 4 Sm 3.21



Record 11
VASP calculation (GGA-PBE) on a geometry-optimized Er8In2Hg structure.

The value obtained for the magnetic moment is 0.00 μB/atom. Its calculated total energy is -4.05 eV/atom.

a = 5.1435 Å, b = 6.9003 Å, c = 9.4659 Å
α = 101.64°, β = 105.76°, γ = 90.00°
Closest atoms and distances in Å follow each position.
Fractional coordinates of all 11 atoms:
Er 0.4071 0.5403 0.8142  1 Hg 3.27, 6 Er 3.41-3.57, 2 In 3.46
Er 0.6578 0.9605 0.3157  1 Hg 2.94, 3 In 3.09-3.14
Er 0.8001 0.7089 0.6002  3 In 3.09-3.27, 3 Er 3.41-3.42
Er 0.9800 0.2428 0.9600  2 Hg 3.13, 1 In 3.16, 3 Er 3.43-3.47
Er 0.1999 0.2911 0.3998  3 In 3.09-3.27, 3 Er 3.41-3.42
Er 0.3422 0.0395 0.6843  1 Hg 2.94, 3 In 3.09-3.14
Er 0.5929 0.4597 0.1858  1 Hg 3.27, 6 Er 3.41-3.57, 2 In 3.46
Er 0.0200 0.7572 0.0400  2 Hg 3.13, 1 In 3.16, 3 Er 3.43-3.47
In 0.8087 0.2661 0.6173  9 Er 3.09-3.46
In 0.1913 0.7339 0.3827  9 Er 3.09-3.46
Hg 0.5000 0.0000 0.0000  8 Er 2.94-3.27



Record 12
VASP calculation (GGA-PBE) on a geometry-optimized CaZn3Br structure.

The calculation puts the raw formation energy at 367 meV per atom. The value obtained for the excess energy over the best structure of this formula in the dataset is 0.0 meV per atom. The value obtained for the magnetic moment is 0.00 μB/atom. Its calculated total energy is -1.13 eV/atom.

a = 5.9546 Å, b = 5.9546 Å, c = 5.9546 Å
α = 90.00°, β = 90.00°, γ = 90.00°
Closest atoms and distances in Å follow each position.
Fractional coordinates of all 5 atoms:
Zn 0.0000 0.5000 0.0000  2 Ca 2.98
Zn 0.0000 0.0000 0.5000  2 Ca 2.98
Zn 0.5000 0.0000 0.0000  2 Ca 2.98
Ca 0.0000 0.0000 0.0000  6 Zn 2.98
Br 0.5000 0.5000 0.5000  12 Zn 4.21



Record 13
VASP calculation (GGA-PBE) on a geometry-optimized KLiVAg2 structure.

The value obtained for the magnetic moment is 0.80 μB/atom. Its calculated total energy is -2.66 eV/atom.

a = 5.2400 Å, b = 5.8014 Å, c = 5.2400 Å
α = 90.00°, β = 90.00°, γ = 90.00°
Closest atoms and distances in Å follow each position.
Fractional coordinates of all 5 atoms:
K 0.0000 0.5000 0.0000  2 V 2.90
Li 0.5000 0.5000 0.5000  4 K 3.71, 8 Ag 3.91
Ag 0.0000 0.0000 0.5000  2 V 2.62
Ag 0.5000 0.0000 0.0000  2 V 2.62
V 0.0000 0.0000 0.0000  4 Ag 2.62, 2 K 2.90